A plane-wave DFT calculation with GGA-PBE was carried out for a relaxed structure of Cd2Sb2Br.

Calculated values
V	27.22	A^3/atom
symmetry	P4/mbm (127)
DOS at the Fermi energy	3.39	states/eV/f.u.
size of the total moment	0.0000	μB per atom
excess energy over the best structure of this formula in the dataset	4.457	kcal/mol of atoms

abc: 9.1819 9.1819 3.2284
angles: 90.00 90.00 90.00
Closest atoms and distances in Å follow each position.
Element x y z (fractional)
Sb1 0.1310 0.6310 0.5000  6 Cd 3.09-3.18, 3 Sb 3.23-3.40
Sb2 0.6310 0.8690 0.5000  6 Cd 3.09-3.18, 3 Sb 3.23-3.40
Sb3 0.8690 0.3690 0.5000  6 Cd 3.09-3.18, 3 Sb 3.23-3.40
Sb4 0.3690 0.1310 0.5000  6 Cd 3.09-3.18, 3 Sb 3.23-3.40
Br1 0.0000 0.0000 0.0000  2 Br 3.23, 4 Cd 3.42
Br2 0.5000 0.5000 0.0000  2 Br 3.23, 4 Cd 3.42
Cd1 0.3341 0.8341 0.0000  6 Sb 3.09-3.18, 2 Cd 3.23, 2 Br 3.42
Cd2 0.8341 0.6659 0.0000  6 Sb 3.09-3.18, 2 Cd 3.23, 2 Br 3.42
Cd3 0.6659 0.1659 0.0000  6 Sb 3.09-3.18, 2 Cd 3.23, 2 Br 3.42
Cd4 0.1659 0.3341 0.0000  6 Sb 3.09-3.18, 2 Cd 3.23, 2 Br 3.42